Entry 1:
VASP calculation (PBE with a Hubbard U) on a relaxed NaFeH8N2F6 crystal.

a = 6.043 Å, b = 6.043 Å, c = 6.043 Å
α = 60.00°, β = 60.00°, γ = 60.00°
Site moments in Bohr magnetons follow the coordinates.
Fractional positions:
H (0.180, 0.459, 0.180)  0.00
H (0.541, 0.820, 0.820)  0.00
H (0.820, 0.820, 0.820)  0.00
H (0.820, 0.820, 0.541)  0.00
H (0.459, 0.180, 0.180)  0.00
H (0.180, 0.180, 0.180)  0.00
H (0.180, 0.180, 0.459)  0.00
H (0.820, 0.541, 0.820)  0.00
F (0.222, 0.222, 0.778)  0.02
F (0.222, 0.778, 0.778)  0.02
F (0.778, 0.778, 0.222)  0.02
F (0.778, 0.222, 0.778)  0.02
F (0.778, 0.222, 0.222)  0.02
F (0.222, 0.778, 0.222)  0.02
N (0.750, 0.750, 0.750)  0.00
N (0.250, 0.250, 0.250)  0.00
Na (0.500, 0.500, 0.500)  0.00
Fe (0.000, 0.000, 0.000)  0.89

Entry 2:
VASP calculation (PBE with a Hubbard U) on a relaxed FeHOF crystal.

a = 3.212 Å, b = 3.212 Å, c = 5.205 Å
α = 72.03°, β = 72.03°, γ = 60.00°
Site moments in Bohr magnetons follow the coordinates.
Fractional positions:
F (0.305, 0.305, 0.086)  0.05
H (0.185, 0.185, 0.444)  0.00
Fe (0.719, 0.719, 0.844)  3.81
O (0.118, 0.118, 0.646)  0.09

Entry 3:
VASP calculation (PBE with a Hubbard U) on a relaxed ZnFeH4O2F5 crystal.

a = 7.436 Å, b = 7.436 Å, c = 7.436 Å
α = 128.46°, β = 118.52°, γ = 84.29°
Site moments in Bohr magnetons follow the coordinates.
Fractional positions:
H (0.731, 0.450, 0.510)  0.00
H (0.769, 0.529, 0.969)  0.00
H (0.560, 0.529, 0.760)  0.00
H (0.440, 0.200, 0.969)  0.00
H (0.940, 0.450, 0.719)  0.00
H (0.060, 0.779, 0.510)  0.00
H (0.231, 0.200, 0.760)  0.00
H (0.269, 0.779, 0.719)  0.00
F (0.917, 0.323, 0.988)  0.08
F (0.835, 0.908, 0.491)  0.08
F (0.000, 0.908, 0.908)  0.12
F (0.665, 0.071, 0.988)  0.08
F (0.083, 0.071, 0.406)  0.08
F (0.583, 0.656, 0.491)  0.08
F (0.417, 0.908, 0.073)  0.08
F (0.165, 0.656, 0.073)  0.08
F (0.500, 0.070, 0.570)  0.12
F (0.335, 0.323, 0.406)  0.08
Zn (0.250, 0.489, 0.239)  0.01
Zn (0.750, 0.989, 0.239)  0.01
O (0.692, 0.633, 0.941)  -0.01
O (0.308, 0.249, 0.941)  -0.01
O (0.808, 0.346, 0.538)  -0.01
O (0.192, 0.730, 0.538)  -0.01
Fe (0.750, 0.989, 0.739)  4.48
Fe (0.250, 0.989, 0.239)  4.48

Entry 4:
VASP calculation (PBE with a Hubbard U) on a relaxed FeHOs2F crystal.

a = 4.194 Å, b = 4.289 Å, c = 4.194 Å
α = 90.00°, β = 90.00°, γ = 90.00°
Site moments in Bohr magnetons follow the coordinates.
Fractional positions:
F (0.000, 0.000, 0.000)  0.06
H (0.500, 0.500, 0.500)  -0.02
Os (0.000, 0.000, 0.500)  1.36
Os (0.500, 0.000, 0.000)  1.06
Fe (0.000, 0.500, 0.000)  3.67

Entry 5:
VASP calculation (PBE with a Hubbard U) on a relaxed Fe2HOsF crystal.

a = 4.145 Å, b = 4.202 Å, c = 4.145 Å
α = 90.00°, β = 90.00°, γ = 90.00°
Site moments in Bohr magnetons follow the coordinates.
Fractional positions:
Fe (0.500, 0.000, 0.000)  3.55
Fe (0.000, 0.000, 0.500)  3.60
F (0.000, 0.000, 0.000)  0.08
Os (0.000, 0.500, 0.000)  1.35
H (0.500, 0.500, 0.500)  0.01

Entry 6:
VASP calculation (PBE with a Hubbard U) on a relaxed FeH2PbF8 crystal.

a = 4.115 Å, b = 4.608 Å, c = 7.840 Å
α = 91.55°, β = 88.70°, γ = 69.12°
Site moments in Bohr magnetons follow the coordinates.
Fractional positions:
F (0.280, 0.697, 0.222)  0.02
F (0.660, 0.712, 0.503)  0.04
F (0.222, 0.779, 0.788)  -0.02
F (0.720, 0.303, 0.778)  0.02
F (0.778, 0.221, 0.212)  -0.02
F (0.752, 0.757, 0.008)  -0.01
F (0.340, 0.288, 0.497)  0.04
F (0.248, 0.243, 0.992)  -0.01
H (0.492, 0.496, 0.215)  0.00
H (0.508, 0.504, 0.785)  0.00
Fe (0.000, 0.000, 0.000)  3.01
Pb (0.000, 0.000, 0.500)  0.04

no.,ρ (Mg/m³),final energy (hartree per atom)
1,2.4,-0.1737
2,3.5,-0.1989
3,3.1,-0.1776
4,10.0,-0.1729
5,7.4,-0.1474
6,5.0,-0.1606